one) Crystalline NbCu2Mo at its relaxed geometry, computed with PBE-GGA.

```
NbCu2Mo
1.0
0.000 3.084 3.084
3.084 0.000 3.084
3.084 3.084 0.000
Cu Nb Mo
2 1 1
Cartesian
1.542 1.542 1.542
4.626 4.626 4.626
0.000 0.000 0.000
3.084 3.084 3.084
```

Its density of states at the Fermi level is 5.5 states/eV/f.u.

two) Crystalline NbCu2Mo at its relaxed geometry, computed with PBE-GGA.

```
NbCu2Mo
1.0
7.033 0.000 0.000
0.000 7.033 0.000
3.516 3.516 2.523
Mo Nb Cu
2 2 4
Cartesian
0.000 0.000 0.000
7.033 3.516 1.262
3.516 7.033 1.262
3.516 3.516 0.000
8.791 8.847 1.892
1.702 5.274 0.631
5.274 5.218 1.892
5.331 1.758 0.631
```

Its density of states at the Fermi level is 2.6 states/eV/f.u.

Which structure loses on stability? two) does.

one) Crystalline Cu2NiMo at its relaxed geometry, computed with PBE-GGA.

```
Cu2NiMo
1.0
8.586 -0.001 0.000
8.176 2.621 0.000
8.176 1.278 2.288
Cu Mo Ni
2 1 1
Cartesian
6.338 0.991 0.581
0.020 0.003 0.002
12.411 1.940 1.138
18.637 2.913 1.709
```

Its density of states at the Fermi level is 2.1 states/eV/f.u.

two) Crystalline Cu2NiMo at its relaxed geometry, computed with PBE-GGA.

```
Cu2NiMo
1.0
-0.364 5.282 6.892
1.429 3.572 7.793
2.181 5.597 6.282
Mo Ni Cu
1 1 2
Cartesian
0.812 3.613 5.242
2.435 10.838 15.725
0.016 0.071 0.103
1.607 7.155 10.381
```

Its density of states at the Fermi level is 2.6 states/eV/f.u.

three) Crystalline Cu2NiMo at its relaxed geometry, computed with PBE-GGA.

```
Cu2NiMo
1.0
2.631 0.000 0.000
0.000 2.631 0.000
0.000 0.000 7.320
Mo Ni Cu
1 1 2
Cartesian
0.000 0.000 3.731
1.315 1.315 5.584
1.315 1.315 1.702
0.000 0.000 7.283
```

Its density of states at the Fermi level is 3.6 states/eV/f.u.

Which structure loses on stability? two) does.

one) Crystalline Cu2NiMo at its relaxed geometry, computed with PBE-GGA.

```
Cu2NiMo
1.0
-0.344 -3.082 -3.991
-3.586 -3.562 0.035
1.292 4.886 0.019
Mo Cu Ni
1 2 1
Cartesian
-1.997 -3.376 -2.010
-3.915 -6.619 -3.941
-2.082 -0.919 -0.915
-0.538 -0.809 -3.005
```

Its density of states at the Fermi level is 3.2 states/eV/f.u.

two) Crystalline Cu2NiMo at its relaxed geometry, computed with PBE-GGA.

```
Cu2NiMo
1.0
0.000 2.935 2.935
2.935 0.000 2.935
2.935 2.935 0.000
Cu Mo Ni
2 1 1
Cartesian
4.402 4.402 4.402
1.467 1.467 1.467
2.935 2.935 2.935
0.000 0.000 0.000
```

Its density of states at the Fermi level is 2.2 states/eV/f.u.

Which structure loses on stability? two) does.

one) Crystalline Cu2NiMo at its relaxed geometry, computed with PBE-GGA.

```
Cu2NiMo
1.0
-2.980 0.786 3.640
1.780 -4.408 -0.384
1.961 0.665 1.461
Cu Mo Ni
2 1 1
Cartesian
0.000 0.000 0.000
-0.600 -1.811 1.628
-0.509 0.725 2.551
1.870 -1.872 0.539
```

Its density of states at the Fermi level is 4.4 states/eV/f.u.

two) Crystalline Cu2NiMo at its relaxed geometry, computed with PBE-GGA.

```
Cu2NiMo
1.0
-0.564 4.379 -0.555
-4.231 -0.696 -1.189
-0.741 0.222 2.506
Cu Mo Ni
2 1 1
Cartesian
-2.398 1.841 -0.872
0.000 0.000 0.000
-0.653 2.301 0.975
-2.486 -0.237 0.659
```

Its density of states at the Fermi level is 5.0 states/eV/f.u.

Which structure loses on stability? two) does.

one) Crystalline Cu2NiMo at its relaxed geometry, computed with PBE-GGA.

```
Cu2NiMo
1.0
2.555 0.000 0.000
0.000 3.740 0.000
0.000 0.000 5.315
Cu Mo Ni
2 1 1
Cartesian
0.000 0.000 2.749
0.000 0.000 5.224
1.278 1.870 1.329
1.278 1.870 3.986
```

Its density of states at the Fermi level is 3.6 states/eV/f.u.

two) Crystalline Cu2NiMo at its relaxed geometry, computed with PBE-GGA.

```
Cu2NiMo
1.0
-3.489 -3.727 -0.680
0.028 -2.836 -4.299
2.262 1.595 4.344
Ni Cu Mo
1 2 1
Cartesian
-1.479 -2.707 0.587
-3.412 -6.472 -4.910
-1.779 -3.374 -2.560
0.280 -2.261 -1.223
```

Its density of states at the Fermi level is 4.4 states/eV/f.u.

Which structure loses on stability? two) does.

one) Crystalline Cu2NiMo at its relaxed geometry, computed with PBE-GGA.

```
Cu2NiMo
1.0
4.264 0.000 0.000
0.000 2.538 -0.001
0.000 0.843 4.709
Cu Mo Ni
2 1 1
Cartesian
0.000 1.907 2.406
0.000 3.163 4.657
2.132 0.845 1.177
2.132 2.535 3.532
```

Its density of states at the Fermi level is 2.5 states/eV/f.u.

two) Crystalline Cu2NiMo at its relaxed geometry, computed with PBE-GGA.

```
Cu2NiMo
1.0
4.382 -0.005 0.000
1.029 4.259 0.000
-2.706 -2.127 2.712
Ni Mo Cu
1 1 2
Cartesian
2.191 -0.002 1.356
0.515 2.130 1.356
0.000 0.000 0.000
2.706 2.127 0.000
```

Its density of states at the Fermi level is 3.0 states/eV/f.u.

three) Crystalline Cu2NiMo at its relaxed geometry, computed with PBE-GGA.

```
Cu2NiMo
1.0
2.595 0.000 0.000
0.000 3.554 0.000
0.000 0.000 5.523
Cu Ni Mo
2 1 1
Cartesian
1.298 1.777 1.260
0.000 0.000 0.009
1.298 1.777 4.168
0.000 0.000 2.848
```

Its density of states at the Fermi level is 3.3 states/eV/f.u.

four) Crystalline Cu2NiMo at its relaxed geometry, computed with PBE-GGA.

```
Cu2NiMo
1.0
4.153 0.001 0.000
0.005 4.153 0.000
-2.079 -2.077 2.934
Mo Ni Cu
1 1 2
Cartesian
2.079 2.077 0.000
2.076 0.000 1.467
0.000 0.000 0.000
0.003 2.076 1.467
```

Its density of states at the Fermi level is 1.4 states/eV/f.u.

Which structure loses on stability? two) does.